(1)
Computed, not measured: a geometry-optimized La4TaHg structure at the PBE-GGA level of DFT.

Cell: 8.9924 8.9924 8.9924 Å, 90.00 90.00 90.00°
Space group F-43m (No. 216)
One atom of each set of equivalent atoms:
1 La 0.1238 0.1238 0.1238 x16
2 Ta 0.2500 0.2500 0.7500 x4
3 Hg 0.0000 0.0000 0.5000 x4

Summary:
Magnetic moment (μB per formula unit): 1.861
E_tot (eV per atom): -4.626
DFT formation energy (eV/f.u.): 4.11

(2)
Computed, not measured: a geometry-optimized Tm2InB2Rh5 structure at the PBE-GGA level of DFT.

Cell: 9.6066 9.6066 3.2108 Å, 90.00 90.00 90.00°
Space group P4/mbm (No. 127)
One atom of each set of equivalent atoms:
1 Tm 0.1755 0.3245 0.0000 x4
2 In 0.0000 0.0000 0.0000 x2
3 B 0.1215 0.6215 0.0000 x4
4 Rh 0.0000 0.5000 0.5000 x2
5 Rh 0.0707 0.7743 0.5000 x8

Summary:
Magnetic moment (μB per formula unit): 0.000
E_tot (eV per atom): -7.010
DFT formation energy (eV/f.u.): -8.31

(3)
Computed, not measured: a geometry-optimized MgGe2C structure at the PBE-GGA level of DFT.

Cell: 6.3783 6.3783 6.3783 Å, 90.00 90.00 90.00°
Space group Fm-3m (No. 225)
One atom of each set of equivalent atoms:
1 Mg 0.0000 0.0000 0.0000 x4
2 Ge 0.2500 0.2500 0.2500 x8
3 C 0.0000 0.0000 0.5000 x4

Summary:
Magnetic moment (μB per formula unit): 0.000
Excess energy over the best structure of this formula in the dataset (meV per atom): 765
E_tot (eV per atom): -3.717
DFT formation energy (eV/f.u.): 5.18

(4)
Computed, not measured: a geometry-optimized RbSmSn2 structure at the PBE-GGA level of DFT.

Cell: 4.1820 4.1820 8.1568 Å, 90.00 90.00 90.00°
Space group P4/mmm (No. 123)
One atom of each set of equivalent atoms:
1 Rb 0.0000 0.0000 0.0000 x1
2 Sm 0.0000 0.0000 0.5000 x1
3 Sn 0.5000 0.5000 0.3211 x2

Summary:
Magnetic moment (μB per formula unit): 0.000
E_tot (eV per atom): -3.847
DFT formation energy (eV/f.u.): -1.70

(5)
Computed, not measured: a geometry-optimized GeAuCl6 structure at the PBE-GGA level of DFT.

Cell: 5.7919 6.5531 7.4783 Å, 112.18 110.49 95.50°
Space group P-1 (No. 2)
One atom of each set of equivalent atoms:
1 Ge 0.0000 0.0000 0.0000 x1
2 Au 0.5000 0.5000 0.0000 x1
3 Cl 0.1244 0.6525 0.8654 x2
4 Cl 0.1863 0.1377 0.8044 x2
5 Cl 0.3538 0.1680 0.2971 x2

Summary:
Magnetic moment (μB per formula unit): 0.919
E_tot (eV per atom): -2.837

(6)
Computed, not measured: a geometry-optimized LaBeFe2 structure at the PBE-GGA level of DFT.

Cell: 6.8747 3.9707 5.4910 Å, 90.00 114.79 90.00°
Space group C2/m (No. 12)
One atom of each set of equivalent atoms:
1 La 0.0000 0.0000 0.0000 x2
2 Be 0.0000 0.5000 0.5000 x2
3 Fe 0.1797 0.0000 0.5388 x4

Summary:
Magnetic moment (μB per formula unit): 1.687
E_tot (eV per atom): -6.411
DFT formation energy (eV/f.u.): -0.06

(7)
Computed, not measured: a geometry-optimized AcEuPdRu structure at the PBE-GGA level of DFT.

Cell: 7.2828 7.2828 7.2828 Å, 90.00 90.00 90.00°
Space group F-43m (No. 216)
One atom of each set of equivalent atoms:
1 Ac 0.0000 0.0000 0.0000 x4
2 Eu 0.0000 0.0000 0.5000 x4
3 Pd 0.2500 0.2500 0.2500 x4
4 Ru 0.2500 0.2500 0.7500 x4

Summary:
Magnetic moment (μB per formula unit): 6.663
E_tot (eV per atom): -7.440
DFT formation energy (eV/f.u.): -0.91

(8)
Computed, not measured: a geometry-optimized CaAu2 structure at the PBE-GGA level of DFT.

Cell: 3.9892 3.9892 18.4057 Å, 90.00 90.00 90.00°
Space group I4_1/amd (No. 141, origin choice 2)
One atom of each set of equivalent atoms:
1 Ca 0.0000 0.2500 0.3750 x4
2 Au 0.0000 0.2500 0.8008 x8

Summary:
Magnetic moment (μB per formula unit): 0.000
E_tot (eV per atom): -3.512
DFT formation energy (eV/f.u.): -1.98

(9)
Computed, not measured: a geometry-optimized Ce6BiIr2 structure at the PBE-GGA level of DFT.

Cell: 10.8376 4.6092 9.2324 Å, 90.00 91.63 90.00°
Space group C2/m (No. 12)
One atom of each set of equivalent atoms:
1 Ce 0.0813 0.0000 0.3578 x4
2 Ce 0.0904 0.5000 0.6700 x4
3 Ce 0.2142 0.5000 0.1005 x4
4 Bi 0.0000 0.0000 0.0000 x2
5 Ir 0.2464 0.5000 0.3898 x4

Summary:
Magnetic moment (μB per formula unit): 2.375
Excess energy over the best structure of this formula in the dataset (meV per atom): 0
E_tot (eV per atom): -6.891
DFT formation energy (eV/f.u.): -4.82

(10)
Computed, not measured: a geometry-optimized SrMnCd structure at the PBE-GGA level of DFT.

Cell: 3.7037 3.7037 11.7209 Å, 90.00 90.00 90.00°
Space group I4mm (No. 107)
One atom of each set of equivalent atoms:
1 Sr 0.0000 0.0000 0.0000 x2
2 Mn 0.0000 0.0000 0.7010 x2
3 Cd 0.0000 0.0000 0.2973 x2

Summary:
Magnetic moment (μB per formula unit): 3.992
Excess energy over the best structure of this formula in the dataset (meV per atom): 24
E_tot (eV per atom): -3.686
DFT formation energy (eV/f.u.): 0.71

(11)
Computed, not measured: a geometry-optimized CsHg2GeRh structure at the PBE-GGA level of DFT.

Cell: 5.4893 5.4893 4.7555 Å, 90.00 90.00 90.00°
Space group P4/mmm (No. 123)
One atom of each set of equivalent atoms:
1 Cs 0.0000 0.0000 0.0000 x1
2 Hg 0.0000 0.5000 0.5000 x2
3 Ge 0.5000 0.5000 0.0000 x1
4 Rh 0.5000 0.5000 0.5000 x1

Summary:
Magnetic moment (μB per formula unit): 0.000
E_tot (eV per atom): -2.875
DFT formation energy (eV/f.u.): -0.95

(12)
Computed, not measured: a geometry-optimized Cs5K12Na2 structure at the PBE-GGA level of DFT.

Cell: 21.5028 12.1081 11.6167 Å, 90.00 93.04 90.00°
Space group C2/m (No. 12)
One atom of each set of equivalent atoms:
1 Cs 0.0000 0.0000 0.0000 x2
2 Cs 0.2057 0.5000 0.5103 x4
3 Cs 0.2420 0.0000 0.0492 x4
4 K 0.0461 0.5000 0.8301 x4
5 K 0.0729 0.0000 0.3909 x4
6 K 0.1204 0.2986 0.1948 x8
7 K 0.1327 0.1887 0.7246 x8
8 Na 0.0000 0.3440 0.5000 x4

Summary:
Magnetic moment (μB per formula unit): 0.000
E_tot (eV per atom): -1.030
DFT formation energy (eV/f.u.): 0.50